1.
VASP calculation (PBE) on a geometry-optimized Pt3SeCl structure.

Cell lengths 4.6102, 4.6102, 4.6102 Å; angles 90.00, 90.00, 90.00 degrees
With the nearest neighbours (Å) after each atom.
Element x y z (fractional)
Pt  0.0000  0.5000  0.0000  2 Cl 2.31
Se  0.5000  0.5000  0.5000  12 Pt 3.26
Cl  0.0000  0.0000  0.0000  6 Pt 2.31
Pt  0.0000  0.0000  0.5000  2 Cl 2.31
Pt  0.5000  0.0000  0.0000  2 Cl 2.31

## Properties
relative energy among the computed polymorphs	329	meV per atom
density	11.86	g/cm³
formation energy from raw total energies	1.132	eV per atom

=====

2.
VASP calculation (PBE) on a geometry-optimized PtSeCl structure.

Cell lengths 6.6392, 6.4348, 7.3151 Å; angles 117.42, 90.00, 90.00 degrees
With the nearest neighbours (Å) after each atom.
Element x y z (fractional)
Cl  0.3864  0.8519  0.5943  2 Pt 2.43-2.46
Pt  0.9473  0.7242  0.7638  3 Se 2.42-2.68, 2 Cl 2.43-2.46
Se  0.9031  0.6617  0.4138  3 Pt 2.42-2.68
Se  0.5969  0.6617  0.9138  3 Pt 2.42-2.68
Se  0.4031  0.3383  0.0862  3 Pt 2.42-2.68
Cl  0.1136  0.8519  0.0943  2 Pt 2.43-2.46
Cl  0.8864  0.1481  0.9057  2 Pt 2.43-2.46
Pt  0.0527  0.2758  0.2362  3 Se 2.42-2.68, 2 Cl 2.43-2.46
Pt  0.5527  0.7242  0.2638  3 Se 2.42-2.68, 2 Cl 2.43-2.46
Pt  0.4473  0.2758  0.7362  3 Se 2.42-2.68, 2 Cl 2.43-2.46
Se  0.0969  0.3383  0.5862  3 Pt 2.42-2.68
Cl  0.6136  0.1481  0.4057  2 Pt 2.43-2.46

## Properties
density	7.41	g/cm³
formation energy from raw total energies	-0.230	eV per atom

=====

3.
VASP calculation (PBE) on a geometry-optimized Pt2SeCl3 structure.

Cell lengths 3.5285, 10.0965, 9.6708 Å; angles 99.40, 90.00, 100.06 degrees
With the nearest neighbours (Å) after each atom.
Element x y z (fractional)
Cl  0.9097  0.8194  0.5873  2 Pt 2.39
Se  0.4392  0.8785  0.2838  3 Pt 2.38-2.66
Pt  0.3482  0.6963  0.4561  4 Cl 2.39, 1 Se 2.66
Pt  0.6518  0.3037  0.5439  4 Cl 2.39, 1 Se 2.66
Cl  0.6188  0.2377  0.0485  2 Pt 2.41
Cl  0.0903  0.1806  0.4127  2 Pt 2.39
Cl  0.7773  0.5546  0.3489  2 Pt 2.39
Se  0.5608  0.1215  0.7162  3 Pt 2.38-2.66
Cl  0.2227  0.4454  0.6511  2 Pt 2.39
Cl  0.3812  0.7623  0.9515  2 Pt 2.41
Pt  0.0911  0.1821  0.8792  2 Se 2.38, 2 Cl 2.41
Pt  0.9089  0.8179  0.1208  2 Se 2.38, 2 Cl 2.41

## Properties
density	5.71	g/cm³
formation energy from raw total energies	-0.281	eV per atom

=====

4.
VASP calculation (PBE) on a geometry-optimized PtSeCl structure.

Cell lengths 7.8752, 7.0735, 4.2544 Å; angles 84.17, 63.32, 32.51 degrees
With the nearest neighbours (Å) after each atom.
Element x y z (fractional)
Pt  0.3315  0.3315  0.6685  2 Se 2.36, 2 Cl 2.41
Cl  0.9528  0.9528  0.0472  2 Pt 2.41
Se  0.7157  0.7157  0.2843  2 Pt 2.36

## Properties
density	5.53	g/cm³
formation energy from raw total energies	-0.195	eV per atom

=====

5.
VASP calculation (PBE) on a geometry-optimized PtSeCl2 structure.

Cell lengths 4.6830, 4.6830, 4.6813 Å; angles 120.03, 120.01, 89.98 degrees
With the nearest neighbours (Å) after each atom.
Element x y z (fractional)
Cl  0.2500  0.7500  0.5000  4 Cl 2.87, 4 Pt 2.87
Se  0.7500  0.2500  0.5000  4 Pt 2.87, 4 Cl 2.87
Pt  0.5000  0.5000  0.0000  4 Cl 2.87, 4 Se 2.87
Cl  0.0000  0.0000  0.0000  4 Cl 2.87, 4 Se 2.87

## Properties
relative energy among the computed polymorphs	931	meV per atom
density	7.89	g/cm³
formation energy from raw total energies	0.558	eV per atom

=====

6.
VASP calculation (PBE) on a geometry-optimized PtSeCl2 structure.

Cell lengths 7.9536, 7.9536, 7.9536 Å; angles 27.59, 27.59, 27.59 degrees
With the nearest neighbours (Å) after each atom.
Element x y z (fractional)
Se  0.0000  0.0000  0.0000  2 Cl 2.44
Pt  0.5000  0.5000  0.5000  6 Cl 2.59
Cl  0.8934  0.8934  0.8934  1 Se 2.44, 3 Pt 2.59
Cl  0.1066  0.1066  0.1066  1 Se 2.44, 3 Pt 2.59

## Properties
relative energy among the computed polymorphs	772	meV per atom
density	6.01	g/cm³
formation energy from raw total energies	0.399	eV per atom

=====

7.
VASP calculation (PBE) on a geometry-optimized Pt3SeCl structure.

Cell lengths 4.7627, 4.7627, 4.7627 Å; angles 90.00, 90.00, 90.00 degrees
With the nearest neighbours (Å) after each atom.
Element x y z (fractional)
Pt  0.5000  0.0000  0.0000  2 Se 2.38
Pt  0.0000  0.5000  0.0000  2 Se 2.38
Pt  0.0000  0.0000  0.5000  2 Se 2.38
Se  0.0000  0.0000  0.0000  6 Pt 2.38
Cl  0.5000  0.5000  0.5000  12 Pt 3.37

## Properties
relative energy among the computed polymorphs	0	meV per atom
density	10.75	g/cm³
formation energy from raw total energies	0.803	eV per atom

=====

8.
VASP calculation (PBE) on a geometry-optimized PtSeCl2 structure.

Cell lengths 3.0407, 5.8725, 4.3079 Å; angles 90.00, 90.00, 90.00 degrees
With the nearest neighbours (Å) after each atom.
Element x y z (fractional)
Cl  0.0000  0.0000  0.0000  4 Pt 2.64
Cl  0.5000  0.5000  0.0000  4 Se 2.64
Se  0.0000  0.5000  0.5000  4 Cl 2.64
Pt  0.5000  0.0000  0.5000  4 Cl 2.64

## Properties
relative energy among the computed polymorphs	873	meV per atom
density	7.45	g/cm³
formation energy from raw total energies	0.500	eV per atom

=====

9.
VASP calculation (PBE) on a geometry-optimized PtSeCl2 structure.

Cell lengths 5.1044, 5.1044, 3.0142 Å; angles 90.00, 90.00, 107.75 degrees
With the nearest neighbours (Å) after each atom.
Element x y z (fractional)
Se  0.0000  0.5000  0.5000  8 Cl 2.96, 2 Pt 3.01, 2 Se 3.01
Cl  0.5000  0.5000  0.0000  4 Pt 2.96, 4 Se 2.96, 4 Cl 3.01
Cl  0.0000  0.0000  0.0000  4 Se 2.96, 4 Pt 2.96, 4 Cl 3.01
Pt  0.5000  0.0000  0.5000  8 Cl 2.96, 2 Se 3.01, 2 Pt 3.01

## Properties
relative energy among the computed polymorphs	1214	meV per atom
density	7.66	g/cm³
formation energy from raw total energies	0.841	eV per atom

=====

10.
VASP calculation (PBE) on a geometry-optimized PtSeCl2 structure.

Cell lengths 3.4667, 3.4667, 10.6434 Å; angles 90.00, 90.00, 124.58 degrees
With the nearest neighbours (Å) after each atom.
Element x y z (fractional)
Cl  0.0000  0.0000  0.4074  2 Pt 2.33
Pt  0.5000  0.5000  0.2500  4 Cl 2.33
Se  0.5000  0.5000  0.7500  6 Se 3.22-3.47
Cl  0.0000  0.0000  0.0926  2 Pt 2.33

## Properties
relative energy among the computed polymorphs	559	meV per atom
density	5.44	g/cm³
formation energy from raw total energies	0.185	eV per atom

=====

11.
VASP calculation (PBE) on a geometry-optimized PtSeCl2 structure.

Cell lengths 8.1894, 8.1894, 8.1894 Å; angles 24.65, 24.65, 24.65 degrees
With the nearest neighbours (Å) after each atom.
Element x y z (fractional)
Pt  0.2500  0.2500  0.2500  6 Cl 2.52
Cl  0.5203  0.5203  0.5203  3 Pt 2.52
Se  0.7500  0.7500  0.7500  6 Cl 3.19, 6 Se 3.50
Cl  0.9797  0.9797  0.9797  3 Pt 2.52

## Properties
relative energy among the computed polymorphs	800	meV per atom
density	6.82	g/cm³
formation energy from raw total energies	0.427	eV per atom

=====

12.
VASP calculation (PBE) on a geometry-optimized PtSeCl2 structure.

Cell lengths 2.9715, 4.0676, 6.2174 Å; angles 90.00, 90.00, 90.00 degrees
With the nearest neighbours (Å) after each atom.
Element x y z (fractional)
Pt  0.5000  0.5000  0.2500  8 Cl 2.91, 2 Pt 2.97, 2 Se 3.11
Cl  0.0000  0.0000  0.4855  4 Pt 2.91, 3 Cl 2.93-2.97, 4 Se 3.01
Se  0.5000  0.5000  0.7500  2 Se 2.97, 8 Cl 3.01, 2 Pt 3.11
Cl  0.0000  0.0000  0.0145  4 Pt 2.91, 3 Cl 2.93-2.97, 4 Se 3.01

## Properties
relative energy among the computed polymorphs	1180	meV per atom
density	7.62	g/cm³
formation energy from raw total energies	0.807	eV per atom

=====

13.
VASP calculation (PBE) on a geometry-optimized PtSeCl2 structure.

Cell lengths 4.5071, 4.9249, 4.5157 Å; angles 66.92, 81.64, 113.01 degrees
With the nearest neighbours (Å) after each atom.
Element x y z (fractional)
Cl  0.5000  0.0000  0.5000  2 Pt 2.61, 2 Se 2.61
Se  0.5000  0.5000  0.0000  4 Cl 2.61
Cl  0.0000  0.0000  0.0000  2 Se 2.61, 2 Pt 2.61
Pt  0.0000  0.5000  0.5000  4 Cl 2.61

## Properties
relative energy among the computed polymorphs	763	meV per atom
density	7.21	g/cm³
formation energy from raw total energies	0.390	eV per atom